Crystalline La2Er12Th at its relaxed geometry, computed with PBE.

Cell lengths 6.404, 6.404, 24.876 Å; angles 90.00, 90.00, 90.00 degrees
Positions (direct):
Er 0.188 0.688 0.887
Er 0.000 0.000 0.341
Er 0.500 0.500 0.213
Er 0.000 0.000 0.213
Er 0.169 0.331 0.440
Er 0.812 0.688 0.113
Er 0.688 0.188 0.113
Er 0.812 0.312 0.887
Er 0.188 0.312 0.113
Er 0.669 0.831 0.560
Er 0.169 0.669 0.560
Er 0.688 0.812 0.887
Er 0.000 0.000 0.787
Er 0.500 0.500 0.341
Er 0.312 0.188 0.887
Er 0.831 0.331 0.560
Er 0.331 0.831 0.440
Er 0.000 0.000 0.659
Er 0.312 0.812 0.113
Er 0.831 0.669 0.440
Er 0.669 0.169 0.440
Er 0.500 0.500 0.659
Er 0.500 0.500 0.787
Er 0.331 0.169 0.560
La 0.000 0.500 0.272
La 0.500 0.000 0.728
La 0.000 0.500 0.728
La 0.500 0.000 0.272
Th 0.000 0.500 0.000
Th 0.500 0.000 0.000

Output
ΔH_f (0 K)   5.192 eV per formula unit
Electronic total energy   -133.67 eV/cell
Crystal system   tetragonal

=====

Crystalline Ba2Te2O5 at its relaxed geometry, computed with PBE.

Cell lengths 4.580, 7.347, 6.096 Å; angles 89.83, 89.70, 108.68 degrees
Positions (direct):
O 0.783 0.663 0.484
O 0.101 0.311 0.988
O 0.421 0.086 0.216
O 0.104 0.309 0.458
O 0.787 0.663 0.962
Ba 0.287 0.668 0.223
Ba 0.609 0.317 0.725
Te 0.034 0.131 0.223
Te 0.873 0.850 0.722

Output
Electronic total energy   -51.58 eV/cell
Crystal system   triclinic

=====

Crystalline Cs3NaF at its relaxed geometry, computed with PBE.

Cell lengths 6.411, 6.411, 6.411 Å; angles 90.00, 90.00, 90.00 degrees
Positions (direct):
Cs 0.500 0.000 0.000
Cs 0.000 0.000 0.500
Cs 0.000 0.500 0.000
Na 0.500 0.500 0.500
F 0.000 0.000 0.000

Output
Electronic total energy   -10.79 eV/cell
Crystal system   cubic

=====

Crystalline Ce2ScPb at its relaxed geometry, computed with PBE.

Cell lengths 3.350, 3.350, 12.215 Å; angles 82.12, 82.12, 60.00 degrees
Positions (direct):
Ce 0.909 0.909 0.273
Ce 0.091 0.091 0.727
Sc 0.500 0.500 0.500
Pb 0.000 0.000 0.000

Output
ΔH_f (0 K)   0.595 eV per formula unit
Electronic total energy   -21.31 eV/cell
Crystal system   trigonal

=====

Crystalline AlTcS3 at its relaxed geometry, computed with PBE.

Cell lengths 4.658, 4.658, 4.658 Å; angles 90.00, 90.00, 90.00 degrees
Positions (direct):
Tc 0.000 0.000 0.000
S 0.000 0.500 0.000
S 0.500 0.000 0.000
S 0.000 0.000 0.500
Al 0.500 0.500 0.500

Output
Electronic total energy   -25.38 eV/cell
Crystal system   cubic

=====

Crystalline SrSb2PbS at its relaxed geometry, computed with PBE.

Cell lengths 5.445, 5.418, 5.445 Å; angles 90.00, 90.00, 90.00 degrees
Positions (direct):
Pb 0.500 0.500 0.500
Sb 0.500 0.000 0.000
Sb 0.000 0.000 0.500
S 0.000 0.000 0.000
Sr 0.000 0.500 0.000

Output
Electronic total energy   -19.00 eV/cell
Crystal system   tetragonal

=====

Crystalline SrSm2In at its relaxed geometry, computed with PBE.

Cell lengths 3.747, 3.747, 10.070 Å; angles 90.00, 90.00, 90.00 degrees
Positions (direct):
Sr 0.500 0.500 0.500
Sm 0.000 0.000 0.803
Sm 0.000 0.000 0.197
In 0.500 0.500 0.000

Output
ΔH_f (0 K)   -0.516 eV per formula unit
Electronic total energy   -14.37 eV/cell
Crystal system   tetragonal

=====

Crystalline TlRh2 at its relaxed geometry, computed with PBE.

Cell lengths 2.953, 2.953, 14.783 Å; angles 90.00, 90.00, 120.00 degrees
Positions (direct):
Rh 0.333 0.667 0.792
Rh 0.667 0.333 0.208
Rh 0.333 0.667 0.069
Rh 0.667 0.333 0.931
Tl 0.333 0.667 0.376
Tl 0.667 0.333 0.624

Output
ΔH_f (0 K)   1.105 eV per formula unit
Electronic total energy   -31.93 eV/cell
Crystal system   trigonal

=====

Crystalline CoAg2Sb at its relaxed geometry, computed with PBE.

Cell lengths 5.850, 5.850, 3.089 Å; angles 74.78, 74.78, 124.23 degrees
Positions (direct):
Sb 0.000 0.500 0.500
Ag 0.500 0.500 0.000
Ag 0.000 0.000 0.000
Co 0.500 0.000 0.500

Output
Electronic total energy   -15.63 eV/cell
Crystal system   monoclinic

=====

Crystalline Ho2Zn2Ru at its relaxed geometry, computed with PBE.

Cell lengths 4.698, 4.852, 5.571 Å; angles 115.82, 114.94, 90.00 degrees
Positions (direct):
Zn 0.500 0.251 0.000
Zn 0.500 0.749 0.000
Ho 0.814 0.314 0.628
Ho 0.186 0.686 0.372
Ru 0.000 0.000 0.000

Output
ΔH_f (0 K)   -1.702 eV per formula unit
Electronic total energy   -22.68 eV/cell
Crystal system   orthorhombic

=====

Crystalline P2OsSe at its relaxed geometry, computed with PBE.

Cell lengths 4.579, 4.579, 4.579 Å; angles 126.81, 126.81, 78.57 degrees
Positions (direct):
Se 0.250 0.750 0.500
P 0.500 0.500 0.000
P 0.000 0.000 0.000
Os 0.750 0.250 0.500

Output
Electronic total energy   -22.66 eV/cell
Crystal system   tetragonal

=====

Crystalline HgBi2F8 at its relaxed geometry, computed with PBE.

Cell lengths 4.611, 7.340, 7.340 Å; angles 120.00, 90.00, 90.00 degrees
Positions (direct):
Hg 0.500 0.000 0.000
F 0.256 0.677 0.838
F 0.744 0.323 0.162
F 0.256 0.162 0.323
F 0.256 0.162 0.838
F 0.744 0.838 0.677
F 0.274 0.667 0.333
F 0.726 0.333 0.667
F 0.744 0.838 0.162
Bi 0.762 0.667 0.333
Bi 0.238 0.333 0.667

Output
Electronic total energy   -45.50 eV/cell
Crystal system   trigonal

=====

Crystalline ErHf2Fe at its relaxed geometry, computed with PBE.

Cell lengths 3.216, 3.216, 8.065 Å; angles 90.00, 90.00, 90.00 degrees
Positions (direct):
Hf 0.000 0.000 0.186
Hf 0.000 0.000 0.814
Fe 0.500 0.500 0.000
Er 0.500 0.500 0.500

Output
ΔH_f (0 K)   0.042 eV per formula unit
Electronic total energy   -32.89 eV/cell
Crystal system   tetragonal

=====

Crystalline Sr4Cl2F at its relaxed geometry, computed with PBE.

Cell lengths 5.416, 5.416, 9.293 Å; angles 73.06, 73.06, 90.00 degrees
Positions (direct):
F 0.000 0.000 0.000
Sr 0.500 0.000 0.000
Sr 0.000 0.500 0.000
Sr 0.763 0.763 0.474
Sr 0.237 0.237 0.526
Cl 0.411 0.411 0.178
Cl 0.589 0.589 0.822

Output
Electronic total energy   -22.92 eV/cell
Crystal system   tetragonal